DFT (PBE) results for a geometry-optimized Sc2CoHRh structure.

Calculated values
E above lowest polymorph: 0.114 eV/atom

```
data_Sc2CoHRh
_space_group_name_H-M_alt 'P 4/m m m'
_space_group_IT_number 123
_space_group_name_Hall '-P 4 2'
_cell_length_a 4.514
_cell_length_b 4.514
_cell_length_c 3.396
_cell_angle_alpha 90.00
_cell_angle_beta 90.00
_cell_angle_gamma 90.00
loop_
_atom_site_label
_atom_site_type_symbol
_atom_site_fract_x
_atom_site_fract_y
_atom_site_fract_z
Sc1 Sc 0.000 0.500 0.000
Co1 Co 0.000 0.000 0.500
H1 H 0.500 0.500 0.000
Rh1 Rh 0.500 0.500 0.500
```

DFT (PBE) results for a geometry-optimized Sc2CoHRh structure.

Calculated values
E above lowest polymorph: 0.000 eV/atom

```
data_Sc2CoHRh
_space_group_name_H-M_alt 'P 4/m m m'
_space_group_IT_number 123
_space_group_name_Hall '-P 4 2'
_cell_length_a 4.506
_cell_length_b 4.506
_cell_length_c 3.289
_cell_angle_alpha 90.00
_cell_angle_beta 90.00
_cell_angle_gamma 90.00
loop_
_atom_site_label
_atom_site_type_symbol
_atom_site_fract_x
_atom_site_fract_y
_atom_site_fract_z
Sc1 Sc 0.000 0.500 0.000
Co1 Co 0.000 0.000 0.500
H1 H 0.000 0.000 0.000
Rh1 Rh 0.500 0.500 0.500
```

How do the records compare in Fermi-level density of states? In the order shown, they have 0.28; 0.34 states/eV/atom.
How do the records compare in total DFT energy (no corrections)? In the order shown, they have -6.637; -6.751 eV/atom.
How do the records compare in total magnetic moment? In the order shown, they have 0.108; 0.084 μB per atom.